1.
Density functional theory data (PBE-GGA) for crystalline Y4SnBi3 at its relaxed geometry.

Cell: 6.314 6.314 6.314 Å, 90.00 90.00 90.00°
Atoms (fractional coordinates):
Bi1 0.000 0.500 0.500
Bi2 0.500 0.000 0.500
Bi3 0.500 0.500 0.000
Y1 0.500 0.000 0.000
Y2 0.000 0.000 0.500
Y3 0.000 0.500 0.000
Y4 0.500 0.500 0.500
Sn1 0.000 0.000 0.000

2.
Density functional theory data (PBE-GGA) for crystalline YSnBi2 at its relaxed geometry.

Cell: 4.244 4.244 6.591 Å, 90.00 90.00 90.00°
Atoms (fractional coordinates):
Bi1 0.000 0.000 0.240
Bi2 0.000 0.000 0.760
Y1 0.500 0.500 0.000
Sn1 0.500 0.500 0.500

3.
Density functional theory data (PBE-GGA) for crystalline Y2Sn2Bi at its relaxed geometry.

Summary:
Distance to the lowest polymorph of the same formula   0.0 meV/atom

Cell: 8.128 8.128 4.342 Å, 90.00 90.00 90.00°
Atoms (fractional coordinates):
Sn1 0.628 0.128 0.000
Sn2 0.372 0.872 0.000
Sn3 0.872 0.628 0.000
Sn4 0.128 0.372 0.000
Y1 0.173 0.673 0.500
Y2 0.827 0.327 0.500
Y3 0.327 0.173 0.500
Y4 0.673 0.827 0.500
Bi1 0.000 0.000 0.000
Bi2 0.500 0.500 0.000

4.
Density functional theory data (PBE-GGA) for crystalline YSn2Bi2 at its relaxed geometry.

Summary:
Distance to the lowest polymorph of the same formula   28.5 meV/atom

Cell: 8.225 8.225 4.585 Å, 90.00 90.00 90.00°
Atoms (fractional coordinates):
Y1 0.000 0.000 0.000
Y2 0.500 0.500 0.000
Bi1 0.142 0.358 0.000
Bi2 0.858 0.642 0.000
Bi3 0.358 0.858 0.000
Bi4 0.642 0.142 0.000
Sn1 0.170 0.670 0.500
Sn2 0.670 0.830 0.500
Sn3 0.830 0.330 0.500
Sn4 0.330 0.170 0.500

5.
Density functional theory data (PBE-GGA) for crystalline YSn2Bi2 at its relaxed geometry.

Summary:
Distance to the lowest polymorph of the same formula   0.0 meV/atom

Cell: 4.251 4.251 9.271 Å, 76.75 76.75 90.00°
Atoms (fractional coordinates):
Y1 0.000 0.000 0.000
Bi1 0.409 0.409 0.181
Bi2 0.591 0.591 0.819
Sn1 0.750 0.250 0.500
Sn2 0.250 0.750 0.500

6.
Density functional theory data (PBE-GGA) for crystalline Y2SnBi2 at its relaxed geometry.

Summary:
Distance to the lowest polymorph of the same formula   21.1 meV/atom

Cell: 8.537 8.537 4.170 Å, 90.00 90.00 90.00°
Atoms (fractional coordinates):
Bi1 0.149 0.351 0.000
Bi2 0.649 0.149 0.000
Bi3 0.851 0.649 0.000
Bi4 0.351 0.851 0.000
Y1 0.347 0.153 0.500
Y2 0.153 0.653 0.500
Y3 0.847 0.347 0.500
Y4 0.653 0.847 0.500
Sn1 0.000 0.000 0.000
Sn2 0.500 0.500 0.000

Results for electronic total energy: -0.441 -0.362 -0.406 -0.336 -0.338 -0.401 (in Ry per atom, following the order of the records).
Results for energy of formation: -0.81 -0.37 -0.56 -0.13 -0.16 -0.52 (in eV per atom, following the order of the records).